No. 1
Material: Sm2DyCdAu4
Method: DFT, PBE
State: optimized geometry

Lattice parameters (Å, degrees): 5.0662 5.0662 25.1789 90.00 90.00 120.00
Space group R-3m (No. 166, hexagonal axes)
Symmetry-distinct sites (fractional):
Sm  0.0000  0.0000  0.2426 (multiplicity 6)
Dy  0.0000  0.0000  0.0000 (multiplicity 3)
Cd  0.0000  0.0000  0.5000 (multiplicity 3)
Au  0.0000  0.0000  0.1192 (multiplicity 6)
Au  0.0000  0.0000  0.3652 (multiplicity 6)

Crystal system: trigonal
E_form, eV/atom: -0.76

=====

No. 2
Material: MnMoHOs
Method: DFT, PBE
State: optimized geometry

Lattice parameters (Å, degrees): 2.7525 2.7525 19.8452 90.00 90.00 120.00
Space group R3m (No. 160, hexagonal axes)
Symmetry-distinct sites (fractional):
Mn  0.0000  0.0000  0.0000 (multiplicity 3)
Mo  0.0000  0.0000  0.7838 (multiplicity 3)
H  0.0000  0.0000  0.3831 (multiplicity 3)
Os  0.0000  0.0000  0.2298 (multiplicity 3)

Crystal system: trigonal
Calculated total energy, eV per atom: -8.61